A relaxed structure of Sm2BiPd8. Source: the Alexandria database, functional PBE.

Computed properties:
formation energy from the elements = -0.52 eV per atom
crystal system = orthorhombic

a b c (Å): 4.854 5.984 8.298
angles (deg): 111.17 107.01 90.00
Fractional coordinates of all 11 atoms:
1 Sm 0.815 0.315 0.629
2 Sm 0.185 0.685 0.371
3 Bi 0.500 0.000 0.000
4 Pd 0.356 0.595 0.711
5 Pd 0.644 0.884 0.289
6 Pd 0.817 0.817 0.635
7 Pd 0.000 0.252 0.000
8 Pd 0.183 0.183 0.365
9 Pd 0.356 0.116 0.711
10 Pd 0.644 0.405 0.289
11 Pd 0.000 0.748 0.000